# Pm3SmErTh

A relaxed Pm3SmErTh crystal (PBE, Alexandria via LeMat-Bulk).

Calculated values
The uncorrected energy comes out at -61.53 eV for the cell shown. The value obtained for the energy of formation is 31 meV per atom. Its calculated volume is 33.364 Å³ per atom.

Lattice parameters (Å, degrees): 8.082 5.112 10.213 90.00 108.41 90.00
Space group P2_1/m (No. 11)
Symmetry-distinct sites (fractional):
Pm  0.172  0.250  0.043
Pm  0.178  0.250  0.545
Pm  0.179  0.750  0.294
Sm  0.171  0.750  0.793
Er  0.499  0.250  0.873
Th  0.500  0.250  0.377

---

# MgSiPd

A relaxed MgSiPd crystal (PBE, Alexandria via LeMat-Bulk).

Calculated values
Its formation energy (no corrections) is -46 kJ per mole of atoms. The uncorrected energy comes out at -13.64 eV for the cell shown. Its calculated volume is 16.099 Å³ per atom.

Lattice parameters (Å, degrees): 4.2633 4.2633 3.0682 90.00 90.00 120.00
Space group P-6m2 (No. 187)
Symmetry-distinct sites (fractional):
Mg  0.0000  0.0000  0.0000
Si  0.3333  0.6667  0.5000
Pd  0.6667  0.3333  0.5000

---

# CaNd7Sm3

A relaxed CaNd7Sm3 crystal (PBE, Alexandria via LeMat-Bulk).

Calculated values
The uncorrected energy comes out at -94.27 eV for the cell shown. The value obtained for the energy of formation is 218 meV per atom. The calculation puts the polymorph energy (0 for the lowest one) at 1.7 kJ/mol of atoms. Its calculated volume is 36.876 Å³ per atom.

Lattice parameters (Å, degrees): 11.930 10.314 6.616 90.00 94.77 90.00
Space group C2/m (No. 12)
Symmetry-distinct sites (fractional):
Ca  0.000  0.000  0.000
Nd  0.000  0.000  0.500
Nd  0.234  0.500  0.708
Nd  0.246  0.173  0.756
Sm  0.000  0.330  0.500
Sm  0.000  0.500  0.000

---

# SrTl2Pb

A relaxed SrTl2Pb crystal (PBE, Alexandria via LeMat-Bulk).

Calculated values
The uncorrected energy comes out at -11.02 eV for the cell shown. The value obtained for the energy of formation is -224 meV per atom. Its calculated volume is 33.254 Å³ per atom.

Lattice parameters (Å, degrees): 3.855 5.777 5.988 90.00 93.97 90.00
Space group P2/m (No. 10)
Symmetry-distinct sites (fractional):
Sr  0.000  0.000  0.000
Tl  0.283  0.500  0.735
Pb  0.500  0.000  0.500

---

# Tb2Mg3Zn3

A relaxed Tb2Mg3Zn3 crystal (PBE, Alexandria via LeMat-Bulk).

Calculated values
The uncorrected energy comes out at -60.07 eV for the cell shown. The value obtained for the energy of formation is -270 meV per atom. Its calculated volume is 21.015 Å³ per atom.

Lattice parameters (Å, degrees): 4.9125 4.9125 24.1326 90.00 90.00 120.00
Space group R3m (No. 160, hexagonal axes)
Symmetry-distinct sites (fractional):
Tb  0.0000  0.0000  0.0000
Tb  0.0000  0.0000  0.4878
Mg  0.0000  0.0000  0.2476
Mg  0.0000  0.0000  0.7420
Mg  0.0000  0.0000  0.8710
Zn  0.0000  0.0000  0.1243
Zn  0.0000  0.0000  0.3672
Zn  0.0000  0.0000  0.6146

---

# Ba2B5BrO9

A relaxed Ba2B5BrO9 crystal (PBE, Alexandria via LeMat-Bulk).

Calculated values
Its formation energy (no corrections) is -252 kJ per mole of atoms. The uncorrected energy comes out at -511.69 eV for the cell shown. Its calculated volume is 13.939 Å³ per atom.

Lattice parameters (Å, degrees): 11.796 11.917 6.743 90.00 90.00 90.00
Space group Pnn2 (No. 34)
Symmetry-distinct sites (fractional):
Ba  0.044  0.238  0.000
Ba  0.228  0.475  0.653
B  0.012  0.753  0.521
B  0.186  0.728  0.307
B  0.203  0.819  0.652
B  0.215  0.212  0.473
B  0.231  0.043  0.685
Br  0.000  0.000  0.193
Br  0.000  0.500  0.912
O  0.061  0.714  0.350
O  0.078  0.798  0.671
O  0.103  0.260  0.557
O  0.195  0.761  0.097
O  0.212  0.086  0.499
O  0.228  0.932  0.738
O  0.230  0.233  0.262
O  0.235  0.813  0.440
O  0.245  0.617  0.341

---

# Ho6AlAg2

A relaxed Ho6AlAg2 crystal (PBE, Alexandria via LeMat-Bulk).

Calculated values
The uncorrected energy comes out at -154.76 eV for the cell shown. The value obtained for the energy of formation is -198 meV per atom. Its calculated volume is 26.802 Å³ per atom.

Lattice parameters (Å, degrees): 9.688 9.957 10.003 90.00 90.00 90.00
Space group Immm (No. 71)
Symmetry-distinct sites (fractional):
Ho  0.000  0.226  0.174
Ho  0.179  0.233  0.500
Ho  0.199  0.500  0.253
Al  0.000  0.500  0.000
Al  0.000  0.500  0.500
Ag  0.000  0.000  0.364
Ag  0.146  0.000  0.000

---

# Ba2Zn2Au

A relaxed Ba2Zn2Au crystal (PBE, Alexandria via LeMat-Bulk).

Calculated values
The uncorrected energy comes out at -21.99 eV for the cell shown. The value obtained for the energy of formation is -265 meV per atom. The calculation puts the polymorph energy (0 for the lowest one) at 12.1 kJ/mol of atoms. Its calculated volume is 31.338 Å³ per atom.

Lattice parameters (Å, degrees): 4.024 4.024 19.352 90.00 90.00 90.00
Space group I4/mmm (No. 139)
Symmetry-distinct sites (fractional):
Ba  0.000  0.000  0.102
Zn  0.000  0.500  0.250
Au  0.000  0.000  0.500

---

# KCa2La

A relaxed KCa2La crystal (PBE, Alexandria via LeMat-Bulk).

Calculated values
The uncorrected energy comes out at -18.00 eV for the cell shown. The value obtained for the energy of formation is 257 meV per atom. The calculation puts the polymorph energy (0 for the lowest one) at 12.7 kJ/mol of atoms. Its calculated volume is 45.199 Å³ per atom.

Lattice parameters (Å, degrees): 13.153 3.726 7.426 90.00 96.48 90.00
Space group C2/m (No. 12)
Symmetry-distinct sites (fractional):
K  0.000  0.000  0.000
Ca  0.242  0.000  0.728
La  0.000  0.500  0.500

---

# Ac3LaMn2N6

A relaxed Ac3LaMn2N6 crystal (PBE, Alexandria via LeMat-Bulk).

Calculated values
Its formation energy (no corrections) is -78 kJ per mole of atoms. The uncorrected energy comes out at -95.20 eV for the cell shown. Its calculated volume is 18.652 Å³ per atom.

Lattice parameters (Å, degrees): 6.0507 6.0507 7.0594 90.00 90.00 120.00
Space group P-3m1 (No. 164)
Symmetry-distinct sites (fractional):
Ac  0.0000  0.0000  0.0000
Ac  0.3333  0.6667  0.6830
La  0.0000  0.0000  0.5000
Mn  0.3333  0.6667  0.2005
N  0.1757  0.3514  0.2776

---

# Na2SbS

A relaxed Na2SbS crystal (PBE, Alexandria via LeMat-Bulk).

Calculated values
Its formation energy (no corrections) is -18 kJ per mole of atoms. The uncorrected energy comes out at -46.59 eV for the cell shown. The calculation puts the polymorph energy (0 for the lowest one) at 18.4 kJ/mol of atoms. Its calculated volume is 23.655 Å³ per atom.

Lattice parameters (Å, degrees): 7.233 7.233 7.233 90.00 90.00 90.00
Space group Fm-3m (No. 225)
Symmetry-distinct sites (fractional):
Na  0.250  0.250  0.250
Sb  0.000  0.000  0.000
S  0.000  0.000  0.500

---

# MgTlTe2O8

A relaxed MgTlTe2O8 crystal (PBE, Alexandria via LeMat-Bulk).

Calculated values
Its formation energy (no corrections) is -93 kJ per mole of atoms. The uncorrected energy comes out at -123.05 eV for the cell shown. Its calculated volume is 14.815 Å³ per atom.

Lattice parameters (Å, degrees): 7.232 7.232 6.798 90.00 90.00 90.00
Space group I-4m2 (No. 119)
Symmetry-distinct sites (fractional):
Mg  0.000  0.000  0.000
Tl  0.000  0.500  0.250
Te  0.000  0.000  0.500
Te  0.000  0.500  0.750
O  0.000  0.187  0.306
O  0.000  0.304  0.926